First-principles (PBE) data for a relaxed EuYRe4 crystal, as listed in Alexandria via LeMat-Bulk.

Calculated values
Symmetry: F-43m, No. 216
Calculated formation energy in eV per atom: 0.02
Total energy in eV/atom: -11.07
Crystal system: cubic

a = 5.446 Å, b = 5.446 Å, c = 5.446 Å
α = 60.00°, β = 60.00°, γ = 60.00°
Site moments in Bohr magnetons follow the coordinates.
Atoms (fractional coordinates):
1 Re 0.625 0.625 0.125  -0.01
2 Re 0.625 0.125 0.625  -0.01
3 Re 0.625 0.625 0.625  -0.01
4 Eu 0.000 0.000 0.000  6.62
5 Y 0.250 0.250 0.250  0.02
6 Re 0.125 0.625 0.625  -0.01